Material: NaAlGeO4
Method: DFT, PBEsol
State: relaxed

a b c (Å): 2.8524 8.8621 10.3613
angles (deg): 90.00 90.00 90.00
Element x y z (fractional)
Na1 0.5000 0.7426 0.9007
Na2 0.5000 0.2426 0.0993
Na3 0.0000 0.2601 0.5899
Na4 0.0000 0.7601 0.4101
Al1 0.5000 0.5644 0.1375
Al2 0.5000 0.0644 0.8625
Al3 0.5000 0.5795 0.6476
Al4 0.5000 0.0795 0.3524
Ge1 0.0000 0.4435 0.3617
Ge2 0.0000 0.9435 0.6383
Ge3 0.0000 0.4139 0.8517
Ge4 0.0000 0.9139 0.1483
O1 0.5000 0.8796 0.2670
O2 0.5000 0.3796 0.7330
O3 0.0000 0.1086 0.2338
O4 0.0000 0.6086 0.7662
O5 0.5000 0.5806 0.3250
O6 0.5000 0.0806 0.6750
O7 0.0000 0.4284 0.1791
O8 0.0000 0.9284 0.8209
O9 0.5000 0.9716 0.0350
O10 0.5000 0.4716 0.9650
O11 0.0000 0.0236 0.4651
O12 0.0000 0.5236 0.5349
O13 0.5000 0.7997 0.6029
O14 0.5000 0.2997 0.3971
O15 0.0000 0.2038 0.9013
O16 0.0000 0.7038 0.0987

- SG = Pmc2_1
- formation energy from raw total energies (meV/atom) = -2242
- D(E_F) (states/eV per cell) = 0.000


Material: CrMo2Os
Method: DFT, PBEsol
State: relaxed

a b c (Å): 3.0316 4.3007 5.0219
angles (deg): 115.35 107.57 90.00
Element x y z (fractional)
Cr1 0.0000 0.5000 0.0000
Mo1 0.7371 0.7371 0.4742
Mo2 0.2629 0.2629 0.5258
Os1 0.5000 0.0000 0.0000

- SG = Immm
- formation energy (eV per atom) = 0.1252
- D(E_F) (states/eV per cell) = 3.984


Material: Sb2TeW
Method: DFT, PBEsol
State: relaxed

a b c (Å): 3.2356 3.2356 9.0343
angles (deg): 90.00 90.00 90.00
Element x y z (fractional)
Sb1 0.0000 0.0000 0.6852
Sb2 0.0000 0.0000 0.3148
Te1 0.5000 0.5000 0.0000
W1 0.5000 0.5000 0.5000

- SG = P4/mmm
- formation energy from raw total energies (meV/atom) = 326
- D(E_F) (states/eV per cell) = 2.799


Material: SeN2Cl
Method: DFT, PBEsol
State: relaxed

a b c (Å): 4.0227 4.0227 4.0227
angles (deg): 60.00 60.00 60.00
Element x y z (fractional)
N1 0.2500 0.2500 0.2500
N2 0.7500 0.7500 0.7500
Se1 0.5000 0.5000 0.5000
Cl1 0.0000 0.0000 0.0000

- SG = Fm-3m
- formation energy from raw total energies (meV/atom) = 2293
- D(E_F) (states/eV per cell) = 2.863


Material: Li2Cr2O7
Method: DFT, PBEsol
State: relaxed

a b c (Å): 6.3519 6.3519 13.6783
angles (deg): 90.00 90.00 117.89
Element x y z (fractional)
Li1 0.2395 0.2395 0.0000
Li2 0.2605 0.2605 0.5000
Li3 0.6956 0.3044 0.3604
Li4 0.8044 0.1956 0.8604
Li5 0.1956 0.8044 0.1396
Li6 0.3044 0.6956 0.6396
Li7 0.7395 0.7395 0.5000
Li8 0.7605 0.7605 0.0000
Cr1 0.1692 0.3308 0.2500
Cr2 0.3308 0.1692 0.7500
Cr3 0.2519 0.7481 0.9235
Cr4 0.7481 0.2519 0.0765
Cr5 0.7519 0.2481 0.5765
Cr6 0.2481 0.7519 0.4235
Cr7 0.8308 0.6692 0.7500
Cr8 0.6692 0.8308 0.2500
O1 0.2071 0.1898 0.1602
O2 0.1898 0.2071 0.8398
O3 0.5543 0.0375 0.1468
O4 0.5375 0.0543 0.6468
O5 0.0375 0.5543 0.8532
O6 0.0543 0.5375 0.3532
O7 0.3102 0.2929 0.3398
O8 0.2929 0.3102 0.6602
O9 0.6347 0.3653 0.4985
O10 0.6320 0.3680 0.7817
O11 0.8811 0.1189 0.5168
O12 0.1320 0.8680 0.7183
O13 0.8653 0.1347 0.9985
O14 0.8680 0.1320 0.2817
O15 0.3653 0.6347 0.5015
O16 0.6189 0.3811 0.0168
O17 0.3680 0.6320 0.2183
O18 0.1189 0.8811 0.4832
O19 0.1347 0.8653 0.0015
O20 0.3811 0.6189 0.9832
O21 0.7071 0.6898 0.3398
O22 0.6898 0.7071 0.6602
O23 0.4625 0.9457 0.3532
O24 0.4457 0.9625 0.8532
O25 0.9625 0.4457 0.1468
O26 0.9457 0.4625 0.6468
O27 0.8102 0.7929 0.1602
O28 0.7929 0.8102 0.8398

- SG = Cmce
- formation energy from raw total energies (meV/atom) = -1827


Material: SrLaTa
Method: DFT, PBEsol
State: relaxed

a b c (Å): 5.2215 5.2215 5.2215
angles (deg): 60.00 60.00 60.00
Element x y z (fractional)
La1 0.0000 0.0000 0.0000
Sr1 0.5000 0.5000 0.5000
Ta1 0.2500 0.2500 0.2500

- SG = F-43m
- formation energy (eV per atom) = 1.2845
- D(E_F) (states/eV per cell) = 4.319